## TiO2F2 (PBE-GGA)

Data for a relaxed structure of TiO2F2.

Cell: 3.531 3.531 4.099 Å, 90.00 90.00 90.00°
Space group P4/mmm (No. 123)
Inequivalent atoms, fractional coordinates:
1 Ti 0.000 0.000 0.000 (multiplicity 1)
2 O 0.000 0.500 0.500 (multiplicity 2)
3 F 0.500 0.500 0.000 (multiplicity 1)
4 F 0.500 0.500 0.500 (multiplicity 1)

For the volume, the calculation gives 51 Å³/f.u. The calculation puts the formation energy without anion corrections at -154 meV per atom. The crystal system is tetragonal.